# GdTlAu4

A relaxed structure of GdTlAu4 (GGA-PBE, Alexandria via LeMat-Bulk).

abc: 5.666 5.666 5.666
angles: 60.00 60.00 60.00
Each line ends with the local moment (μB).
Sites, in units of the cell vectors:
Tl 0.000 0.000 0.000  -0.01
Au 0.125 0.625 0.625  0.00
Au 0.625 0.625 0.125  0.00
Gd 0.250 0.250 0.250  6.90
Au 0.625 0.625 0.625  0.00
Au 0.625 0.125 0.625  0.00

Computed properties:
Total DFT energy (no corrections), eV/atom: -5.31
Crystal system: cubic
N(E_F), states/eV/f.u.: 4.3